The following is a PBE calculation of a geometry-optimized TlVRu2Pt structure, from Alexandria.

Results
uncorrected energy	-5.850	eV per atom
total magnetization	3.58	μB/f.u.
energy of formation from the pure elements	1366	meV/atom

a b c (Å): 4.8587 4.6287 4.8587
angles (deg): 90.00 90.00 90.00
With the nearest neighbours (Å) after each atom.
Element x y z (fractional)
Ru (0.0000, 0.0000, 0.5000)  2 Pt 2.43
Ru (0.5000, 0.0000, 0.0000)  2 Pt 2.43
Tl (0.5000, 0.5000, 0.5000)  8 Ru 3.36, 4 V 3.44
Pt (0.0000, 0.0000, 0.0000)  2 V 2.31, 4 Ru 2.43
V (0.0000, 0.5000, 0.0000)  2 Pt 2.31

The following is a PBE calculation of a geometry-optimized Tm6Ru2Pt structure, from Alexandria.

Results
uncorrected energy	-6.278	eV per atom
total magnetization	0.00	μB/f.u.
polymorph energy (0 for the lowest one)	0	meV/atom
energy of formation from the pure elements	-564	meV/atom

a b c (Å): 8.1976 8.1976 8.1976
angles (deg): 106.09 111.10 111.27
With the nearest neighbours (Å) after each atom.
Element x y z (fractional)
Tm (0.5565, 0.7342, 0.8223)  3 Ru 2.83-2.99, 1 Pt 2.96
Tm (0.4435, 0.2658, 0.1777)  3 Ru 2.83-2.99, 1 Pt 2.96
Tm (0.0881, 0.2658, 0.8223)  3 Ru 2.83-2.99, 1 Pt 2.96
Tm (0.9119, 0.7342, 0.1777)  3 Ru 2.83-2.99, 1 Pt 2.96
Tm (0.8093, 0.7453, 0.5546)  2 Ru 2.82-3.11, 2 Pt 3.00-3.07
Tm (0.1907, 0.2547, 0.4454)  2 Ru 2.82-3.11, 2 Pt 3.00-3.07
Tm (0.1907, 0.7453, 0.9360)  2 Ru 2.82-3.11, 2 Pt 3.00-3.07
Tm (0.8093, 0.2547, 0.0640)  2 Ru 2.82-3.11, 2 Pt 3.00-3.07
Tm (0.6881, 0.3568, 0.6687)  3 Ru 2.68-2.88
Tm (0.3119, 0.6432, 0.3313)  3 Ru 2.68-2.88
Tm (0.3119, 0.9807, 0.6687)  3 Ru 2.68-2.88
Tm (0.6881, 0.0193, 0.3313)  3 Ru 2.68-2.88
Ru (0.5000, 0.3756, 0.8756)  1 Ru 2.45, 2 Tm 2.68
Ru (0.5000, 0.6244, 0.1244)  1 Ru 2.45, 2 Tm 2.68
Ru (0.6708, 0.0000, 0.6708)  8 Tm 2.82-2.88, 1 Pt 3.05
Ru (0.3292, 0.0000, 0.3292)  8 Tm 2.82-2.88, 1 Pt 3.05
Pt (0.0000, 0.5000, 0.5000)  8 Tm 3.00-3.33
Pt (0.0000, 0.0000, 0.0000)  8 Tm 2.96-3.07, 2 Ru 3.05

The following is a PBE calculation of a geometry-optimized Tm3RuPt2 structure, from Alexandria.

Results
uncorrected energy	-6.827	eV per atom
total magnetization	0.00	μB/f.u.
energy of formation from the pure elements	-1032	meV/atom

a b c (Å): 4.8057 7.5863 6.8968
angles (deg): 90.00 90.00 71.53
With the nearest neighbours (Å) after each atom.
Element x y z (fractional)
Tm (0.8309, 0.3381, 0.7544)  3 Ru 2.91-2.94, 5 Pt 2.96-3.00
Tm (0.5000, 0.0000, 0.2476)  2 Ru 2.94, 6 Pt 2.95-2.97
Tm (0.1691, 0.6619, 0.2456)  3 Ru 2.91-2.94, 5 Pt 2.96-3.00
Tm (0.8309, 0.3381, 0.2456)  3 Ru 2.91-2.94, 5 Pt 2.96-3.00
Tm (0.1691, 0.6619, 0.7544)  3 Ru 2.91-2.94, 5 Pt 2.96-3.00
Tm (0.5000, 0.0000, 0.7524)  2 Ru 2.94, 6 Pt 2.95-2.97
Ru (0.3334, 0.3332, 0.0000)  8 Tm 2.91-2.94
Ru (0.6666, 0.6668, 0.0000)  8 Tm 2.91-2.94
Pt (0.0000, 0.0000, 0.0000)  8 Tm 2.95-2.96
Pt (0.0000, 0.0000, 0.5000)  8 Tm 2.97-3.00
Pt (0.3348, 0.3304, 0.5000)  8 Tm 2.95-2.98
Pt (0.6652, 0.6696, 0.5000)  8 Tm 2.95-2.98

The following is a PBE calculation of a geometry-optimized Tm6Ru2Pt structure, from Alexandria.

Results
uncorrected energy	-6.225	eV per atom
total magnetization	0.00	μB/f.u.
polymorph energy (0 for the lowest one)	52	meV/atom
energy of formation from the pure elements	-512	meV/atom

a b c (Å): 6.5172 7.3262 9.3424
angles (deg): 90.00 87.87 90.00
With the nearest neighbours (Å) after each atom.
Element x y z (fractional)
Tm (0.8356, 0.9476, 0.2378)  2 Ru 2.73-2.75, 1 Pt 2.74
Tm (0.8265, 0.6666, 0.5683)  1 Pt 2.76, 2 Ru 2.78-3.03
Tm (0.8524, 0.6755, 0.9266)  1 Pt 2.70, 2 Ru 2.89-3.00
Tm (0.6476, 0.1755, 0.5734)  1 Pt 2.70, 2 Ru 2.89-3.00
Tm (0.6735, 0.1666, 0.9317)  1 Pt 2.76, 2 Ru 2.78-3.03
Tm (0.6644, 0.4476, 0.2622)  2 Ru 2.73-2.75, 1 Pt 2.74
Tm (0.1644, 0.0524, 0.7622)  2 Ru 2.73-2.75, 1 Pt 2.74
Tm (0.1735, 0.3334, 0.4317)  1 Pt 2.76, 2 Ru 2.78-3.03
Tm (0.1476, 0.3245, 0.0734)  1 Pt 2.70, 2 Ru 2.89-3.00
Tm (0.3524, 0.8245, 0.4266)  1 Pt 2.70, 2 Ru 2.89-3.00
Tm (0.3265, 0.8334, 0.0683)  1 Pt 2.76, 2 Ru 2.78-3.03
Tm (0.3356, 0.5524, 0.7378)  2 Ru 2.73-2.75, 1 Pt 2.74
Ru (0.9642, 0.3806, 0.7345)  6 Tm 2.73-3.03
Ru (0.5358, 0.8806, 0.7655)  6 Tm 2.73-3.03
Ru (0.4642, 0.1194, 0.2345)  6 Tm 2.73-3.03
Ru (0.0358, 0.6194, 0.2655)  6 Tm 2.73-3.03
Pt (0.5000, 0.5000, 0.0000)  6 Tm 2.70-2.76
Pt (0.0000, 0.0000, 0.5000)  6 Tm 2.70-2.76

The following is a PBE calculation of a geometry-optimized Tm6RuPt structure, from Alexandria.

Results
uncorrected energy	-5.664	eV per atom
total magnetization	0.00	μB/f.u.
energy of formation from the pure elements	-396	meV/atom

a b c (Å): 6.6757 6.6701 6.3544
angles (deg): 58.34 80.47 71.60
With the nearest neighbours (Å) after each atom.
Element x y z (fractional)
Tm (0.7426, 0.4336, 0.6518)  1 Ru 2.67, 1 Pt 2.76
Tm (0.7426, 0.0854, 0.3482)  1 Ru 2.67, 1 Pt 2.76
Tm (0.2574, 0.9146, 0.6518)  1 Ru 2.67, 1 Pt 2.76
Tm (0.2574, 0.5664, 0.3482)  1 Ru 2.67, 1 Pt 2.76
Tm (0.7412, 0.7525, 0.0000)  1 Ru 2.67, 1 Pt 2.74
Tm (0.2588, 0.2475, 0.0000)  1 Ru 2.67, 1 Pt 2.74
Ru (0.5000, 0.5000, 0.0000)  6 Tm 2.67
Pt (0.0000, 0.0000, 0.0000)  6 Tm 2.74-2.76

The following is a PBE calculation of a geometry-optimized Tm5Ru2Pt structure, from Alexandria.

Results
uncorrected energy	-6.509	eV per atom
total magnetization	0.00	μB/f.u.
energy of formation from the pure elements	-640	meV/atom

a b c (Å): 7.3358 7.3358 8.5095
angles (deg): 115.53 115.53 90.00
With the nearest neighbours (Å) after each atom.
Element x y z (fractional)
Tm (0.5298, 0.6903, 0.7201)  3 Ru 2.79-2.93, 2 Pt 3.10
Tm (0.8097, 0.9702, 0.2799)  3 Ru 2.79-2.93, 2 Pt 3.10
Tm (0.0000, 0.0000, 0.0000)  4 Ru 2.87
Tm (0.5000, 0.5000, 0.0000)  4 Ru 2.87
Tm (0.1903, 0.0298, 0.7201)  3 Ru 2.79-2.93, 2 Pt 3.10
Tm (0.6903, 0.1903, 0.7201)  3 Ru 2.79-2.93, 2 Pt 3.10
Tm (0.0298, 0.5298, 0.7201)  3 Ru 2.79-2.93, 2 Pt 3.10
Tm (0.3097, 0.8097, 0.2799)  3 Ru 2.79-2.93, 2 Pt 3.10
Tm (0.9702, 0.4702, 0.2799)  3 Ru 2.79-2.93, 2 Pt 3.10
Tm (0.4702, 0.3097, 0.2799)  3 Ru 2.79-2.93, 2 Pt 3.10
Ru (0.1326, 0.3674, 0.0000)  1 Ru 2.75, 8 Tm 2.79-2.93
Ru (0.6326, 0.1326, 0.0000)  1 Ru 2.75, 8 Tm 2.79-2.93
Ru (0.3674, 0.8674, 0.0000)  1 Ru 2.75, 8 Tm 2.79-2.93
Ru (0.8674, 0.6326, 0.0000)  1 Ru 2.75, 8 Tm 2.79-2.93
Pt (0.7500, 0.7500, 0.5000)  10 Tm 3.10-3.37
Pt (0.2500, 0.2500, 0.5000)  10 Tm 3.10-3.37

The following is a PBE calculation of a geometry-optimized Tm4Ru3Pt structure, from Alexandria.

Results
uncorrected energy	-7.138	eV per atom
total magnetization	0.00	μB/f.u.
energy of formation from the pure elements	-669	meV/atom

a b c (Å): 4.7744 6.7284 9.5492
angles (deg): 90.00 90.00 90.00
With the nearest neighbours (Å) after each atom.
Element x y z (fractional)
Ru (0.0000, 0.0000, 0.0000)  8 Tm 2.90
Ru (0.0000, 0.0000, 0.5000)  8 Tm 2.90
Ru (0.5001, 0.0000, 0.7500)  8 Tm 2.90
Ru (0.4999, 0.0000, 0.2500)  8 Tm 2.90
Ru (0.5002, 0.5000, 0.7500)  8 Tm 2.94
Ru (0.4998, 0.5000, 0.2500)  8 Tm 2.94
Tm (0.5000, 0.7552, 0.0000)  6 Ru 2.90-2.94, 2 Pt 2.94
Tm (0.5000, 0.7552, 0.5000)  6 Ru 2.90-2.94, 2 Pt 2.94
Tm (0.5000, 0.2448, 0.0000)  6 Ru 2.90-2.94, 2 Pt 2.94
Tm (0.5000, 0.2448, 0.5000)  6 Ru 2.90-2.94, 2 Pt 2.94
Tm (0.0001, 0.7552, 0.7500)  6 Ru 2.90-2.94, 2 Pt 2.94
Tm (0.9999, 0.7552, 0.2500)  6 Ru 2.90-2.94, 2 Pt 2.94
Tm (0.9999, 0.2448, 0.2500)  6 Ru 2.90-2.94, 2 Pt 2.94
Tm (0.0001, 0.2448, 0.7500)  6 Ru 2.90-2.94, 2 Pt 2.94
Pt (0.0000, 0.5000, 0.0000)  8 Tm 2.94
Pt (0.0000, 0.5000, 0.5000)  8 Tm 2.94

The following is a PBE calculation of a geometry-optimized Tm2RuPt structure, from Alexandria.

Results
uncorrected energy	-6.992	eV per atom
total magnetization	0.00	μB/f.u.
energy of formation from the pure elements	-927	meV/atom

a b c (Å): 3.4307 3.4307 6.6498
angles (deg): 90.00 90.00 90.00
With the nearest neighbours (Å) after each atom.
Element x y z (fractional)
Ru (0.5000, 0.5000, 0.0000)  8 Tm 2.92
Tm (0.0000, 0.0000, 0.7557)  4 Ru 2.92, 4 Pt 2.96, 1 Tm 3.25
Tm (0.0000, 0.0000, 0.2443)  4 Ru 2.92, 4 Pt 2.96, 1 Tm 3.25
Pt (0.5000, 0.5000, 0.5000)  8 Tm 2.96